1.
5
Lattice="5.9463 0.0000 0.0000 0.0000 5.9463 0.0000 0.0000 0.0000 3.8775" Properties=species:S:1:pos:R:3 comment="PBE BaCuI2O, optimized geometry" polymorph_energy_mev_per_atom=0 formation_energy_uncorrected_ev_per_atom=-0.836 pbc="T T T"
Ba 0.0000 0.0000 0.0000
Cu 2.9732 2.9732 1.9387
I 0.0000 2.9732 1.9387
I 2.9732 0.0000 1.9387
O 2.9732 2.9732 0.0000

=====

2.
14
Lattice="-2.2070 4.9623 6.4380 2.2070 -4.9623 6.4380 2.2070 4.9623 -6.4380" Properties=species:S:1:pos:R:3 comment="PBE Li2Pm3Al9, optimized geometry" formation_enthalpy_0k_ev_per_atom=-0.379 pbc="T T T"
Li 0.0000 1.9645 0.0000
Li 0.0000 7.9601 0.0000
Pm 0.0000 0.0000 2.4774
Pm 0.0000 0.0000 6.4380
Pm 0.0000 0.0000 10.3987
Al 2.2070 0.0000 0.0000
Al 2.2070 2.2083 -1.7493
Al 2.2070 -1.3262 4.4056
Al 2.2070 2.2083 1.7493
Al 2.2070 1.3262 4.4056
Al 0.0000 3.6361 2.0325
Al 0.0000 2.7540 4.6887
Al 0.0000 6.2885 2.0325
Al 0.0000 2.7540 8.1874

=====

3.
16
Lattice="4.5387 0.0000 0.0000 0.0000 4.5387 0.0000 0.0000 0.0000 12.1396" Properties=species:S:1:pos:R:3 comment="PBE Ti5Zn2Os, optimized geometry" formation_enthalpy_0k_ev_per_atom=-0.275 pbc="T T T"
Ti 0.0000 0.0000 0.0000
Ti 0.0000 2.2694 1.4617
Ti 0.0000 2.2694 4.6081
Ti 0.0000 2.2694 7.5315
Ti 0.0000 2.2694 10.6779
Ti 2.2694 0.0000 1.4617
Ti 2.2694 0.0000 4.6081
Ti 2.2694 0.0000 7.5315
Ti 2.2694 0.0000 10.6779
Ti 2.2694 2.2694 6.0698
Zn 0.0000 0.0000 3.0173
Zn 0.0000 0.0000 9.1223
Zn 2.2694 2.2694 3.0525
Zn 2.2694 2.2694 9.0871
Os 0.0000 0.0000 6.0698
Os 2.2694 2.2694 0.0000

=====

no.,magnetic moment (μB per formula unit)
1,0.79
2,0.00
3,0.00